# AcCo2O4

Crystalline AcCo2O4 at its relaxed geometry (PBE with a Hubbard U, OQMD).

```
AcCo2O4
1.0
1.080 5.225 3.505
-4.430 0.265 -4.589
-1.166 -3.565 5.165
O Co Ac
8 4 2
Cartesian
-1.658 -0.731 1.420
-3.329 1.950 0.544
-3.774 -0.211 -0.947
-3.518 0.071 3.149
-3.963 -2.090 1.658
-2.139 -2.190 3.596
-0.724 1.785 3.195
-1.204 0.326 5.370
-1.431 -0.202 3.395
-3.063 1.713 -1.482
-0.891 2.410 5.148
-3.646 -0.070 1.101
-1.696 3.160 1.625
0.000 0.000 0.000
```

The magnetic moment comes out at 2.0 μB/cell. The calculation puts the total energy at -6.41 eV/atom. Its space group is No. 141.